No. 1
The following is a PBE calculation of a relaxed structure of TlIn6Ga4, from the Alexandria database.

Cell and atoms, written as POSCAR:
```
TlIn6Ga4
1.0
5.740 -4.351 0.000
5.740 4.351 0.000
-4.421 0.000 5.589
Tl In Ga
1 6 4
Cartesian
0.000 0.000 0.000 Tl
2.211 0.000 2.283 In
3.437 1.922 4.536 In
6.295 1.733 2.935 In
3.437 -1.922 4.536 In
8.948 0.000 2.113 In
6.295 -1.733 2.935 In
4.132 1.703 0.943 Ga
-0.323 0.000 4.165 Ga
6.265 0.000 0.417 Ga
4.132 -1.703 0.943 Ga
```

Output
The size of the total moment comes out at 0.00 μB per cell. The value obtained for the mass density is 6.972 g/cm³. The space group is Cm, No. 8. As for the crystal system: monoclinic.



No. 2
The following is a PBE calculation of a relaxed structure of Tl2In8Ga, from the Alexandria database.

Cell and atoms, written as POSCAR:
```
Tl2In8Ga
1.0
4.742 0.000 0.000
0.000 4.742 0.000
0.000 0.000 13.557
Tl In Ga
2 8 1
Cartesian
0.000 0.000 2.485 Tl
0.000 0.000 11.072 Tl
0.000 2.371 0.000 In
0.000 2.371 5.001 In
0.000 2.371 8.555 In
2.371 0.000 0.000 In
2.371 0.000 5.001 In
2.371 0.000 8.555 In
2.371 2.371 2.545 In
2.371 2.371 11.012 In
0.000 0.000 6.778 Ga
```

Output
The size of the total moment comes out at 0.00 μB per cell. The value obtained for the mass density is 7.610 g/cm³. The space group is P4/mmm, No. 123. As for the crystal system: tetragonal.



No. 3
The following is a PBE calculation of a relaxed structure of TlInGa, from the Alexandria database.

Cell and atoms, written as POSCAR:
```
TlInGa
1.0
4.631 0.000 0.000
2.127 5.674 0.000
2.306 -0.595 6.046
Tl In Ga
2 2 2
Cartesian
2.277 0.790 2.029 Tl
6.787 4.288 4.017 Tl
2.141 4.179 0.476 In
6.923 0.900 5.570 In
4.605 1.858 4.143 Ga
4.459 3.221 1.903 Ga
```

Output
The size of the total moment comes out at 0.00 μB per cell. The value obtained for the mass density is 8.132 g/cm³. The relative energy among the computed polymorphs comes out at 0.00 kJ/mol of atoms. The space group is P-1, No. 2. As for the crystal system: triclinic.



No. 4
The following is a PBE calculation of a relaxed structure of TlIn3Ga3, from the Alexandria database.

Cell and atoms, written as POSCAR:
```
TlIn3Ga3
1.0
9.027 0.000 0.000
-4.513 7.818 0.000
0.000 0.000 4.899
Tl In Ga
2 6 6
Cartesian
0.000 5.212 1.225 Tl
4.513 2.606 3.674 Tl
-1.262 3.419 3.674 In
-0.922 7.201 3.674 In
2.330 2.802 1.225 In
2.184 5.016 3.674 In
5.436 0.617 1.225 In
5.775 4.399 1.225 In
-0.611 1.582 1.225 Ga
-2.838 7.556 1.225 Ga
1.064 1.320 3.674 Ga
3.449 6.497 1.225 Ga
7.351 0.262 3.674 Ga
5.125 6.236 3.674 Ga
```

Output
The size of the total moment comes out at 0.00 μB per cell. The value obtained for the mass density is 7.281 g/cm³. The relative energy among the computed polymorphs comes out at 0.36 kJ/mol of atoms. The space group is P6_3/m, No. 176. As for the crystal system: hexagonal.



No. 5
The following is a PBE calculation of a relaxed structure of Tl2In2Ga, from the Alexandria database.

Cell and atoms, written as POSCAR:
```
Tl2In2Ga
1.0
4.143 0.000 0.000
0.000 4.143 0.000
0.000 0.000 17.586
Tl In Ga
4 4 2
Cartesian
0.000 0.000 1.665 Tl
0.000 0.000 15.921 Tl
2.071 2.071 7.128 Tl
2.071 2.071 10.459 Tl
0.000 2.071 4.397 In
0.000 2.071 13.190 In
2.071 0.000 4.397 In
2.071 0.000 13.190 In
0.000 0.000 8.793 Ga
2.071 2.071 0.000 Ga
```

Output
The size of the total moment comes out at 0.00 μB per cell. The value obtained for the mass density is 7.793 g/cm³. The relative energy among the computed polymorphs comes out at 13.25 kJ/mol of atoms. The space group is I4/mmm, No. 139. As for the crystal system: tetragonal.



No. 6
The following is a PBE calculation of a relaxed structure of TlInGa, from the Alexandria database.

Cell and atoms, written as POSCAR:
```
TlInGa
1.0
5.304 0.000 0.000
-2.652 4.594 0.000
0.000 0.000 3.225
Tl In Ga
1 1 1
Cartesian
0.000 0.000 0.000 Tl
0.000 3.062 1.625 In
2.652 1.531 1.590 Ga
```

Output
The size of the total moment comes out at 0.00 μB per cell. The value obtained for the mass density is 8.220 g/cm³. The relative energy among the computed polymorphs comes out at 4.53 kJ/mol of atoms. The space group is P3m1, No. 156. As for the crystal system: trigonal.



Short version: E_tot = -2.746; -2.658; -2.693; -2.750; -2.470; -2.646 eV per atom, in the order given.